Computed, not measured: a relaxed structure of AlH10C3N6OF5 at the PBE-GGA level of DFT.

Cell lengths 7.874, 8.731, 13.926 Å; angles 90.00, 101.03, 90.00 degrees
Element x y z (fractional)
Al 0.219 0.222 0.299
Al 0.219 0.278 0.799
Al 0.781 0.722 0.201
Al 0.781 0.778 0.701
H 0.006 0.562 0.723
H 0.006 0.938 0.223
H 0.053 0.669 0.636
H 0.053 0.831 0.136
H 0.104 0.554 0.134
H 0.104 0.946 0.634
H 0.196 0.073 0.562
H 0.196 0.427 0.062
H 0.197 0.090 0.096
H 0.197 0.410 0.596
H 0.270 0.145 0.991
H 0.270 0.355 0.491
H 0.310 0.508 0.934
H 0.310 0.992 0.434
H 0.343 0.523 0.379
H 0.343 0.977 0.879
H 0.423 0.594 0.799
H 0.423 0.906 0.299
H 0.465 0.708 0.283
H 0.465 0.792 0.783
H 0.535 0.208 0.217
H 0.535 0.292 0.717
H 0.577 0.094 0.701
H 0.577 0.406 0.201
H 0.657 0.023 0.121
H 0.657 0.477 0.621
H 0.690 0.008 0.566
H 0.690 0.492 0.066
H 0.730 0.645 0.509
H 0.730 0.855 0.009
H 0.803 0.590 0.404
H 0.803 0.910 0.904
H 0.804 0.573 0.938
H 0.804 0.927 0.438
H 0.896 0.054 0.366
H 0.896 0.446 0.866
H 0.947 0.169 0.864
H 0.947 0.331 0.364
H 0.994 0.062 0.777
H 0.994 0.438 0.277
C 0.226 0.654 0.033
C 0.226 0.846 0.533
C 0.255 0.588 0.509
C 0.255 0.912 0.009
C 0.347 0.738 0.898
C 0.347 0.762 0.398
C 0.653 0.238 0.602
C 0.653 0.262 0.102
C 0.745 0.088 0.991
C 0.745 0.412 0.491
C 0.774 0.154 0.467
C 0.774 0.346 0.967
N 0.176 0.537 0.081
N 0.176 0.963 0.581
N 0.203 0.702 0.561
N 0.203 0.798 0.061
N 0.243 0.056 0.035
N 0.243 0.444 0.535
N 0.303 0.623 0.954
N 0.303 0.877 0.454
N 0.323 0.617 0.426
N 0.323 0.883 0.926
N 0.413 0.708 0.820
N 0.413 0.792 0.320
N 0.587 0.208 0.680
N 0.587 0.292 0.180
N 0.677 0.117 0.074
N 0.677 0.383 0.574
N 0.697 0.123 0.546
N 0.697 0.377 0.046
N 0.757 0.556 0.465
N 0.757 0.944 0.965
N 0.797 0.202 0.939
N 0.797 0.298 0.439
N 0.824 0.037 0.419
N 0.824 0.463 0.919
O 0.041 0.140 0.828
O 0.041 0.360 0.328
O 0.959 0.640 0.672
O 0.959 0.860 0.172
F 0.068 0.061 0.300
F 0.068 0.439 0.800
F 0.147 0.246 0.170
F 0.147 0.254 0.670
F 0.286 0.183 0.434
F 0.286 0.317 0.934
F 0.360 0.110 0.814
F 0.360 0.390 0.314
F 0.396 0.098 0.279
F 0.396 0.402 0.779
F 0.604 0.598 0.221
F 0.604 0.902 0.721
F 0.640 0.610 0.686
F 0.640 0.890 0.186
F 0.714 0.683 0.066
F 0.714 0.817 0.566
F 0.853 0.746 0.330
F 0.853 0.754 0.830
F 0.932 0.561 0.200
F 0.932 0.939 0.700

Values from the calculation:
raw total energy	-6.063	eV/atom

Computed, not measured: a relaxed structure of Na2SrCd2Sn2 at the PBE-GGA level of DFT.

Cell lengths 9.960, 9.960, 9.960 Å; angles 28.84, 28.84, 28.84 degrees
Element x y z (fractional)
Na 0.139 0.139 0.139
Na 0.861 0.861 0.861
Sr 0.000 0.000 0.000
Cd 0.413 0.413 0.413
Cd 0.587 0.587 0.587
Sn 0.258 0.258 0.258
Sn 0.742 0.742 0.742

Values from the calculation:
formation energy	-341	meV per atom